[1]
Compound: ScPdRh2
Source: the Alexandria database
Functional: PBE
Structure: optimized geometry

* density of states at the Fermi level: 38.767 states/eV per cell
* DFT formation energy: -0.44 eV per atom

a b c (Å): 6.3246 6.3246 6.3246
angles (deg): 90.00 90.00 90.00
Closest atoms and distances in Å follow each position.
Fractional positions:
Sc (0.0000, 0.0000, 0.0000)  8 Rh 2.74
Sc (0.0000, 0.5000, 0.5000)  8 Rh 2.74
Sc (0.5000, 0.0000, 0.5000)  8 Rh 2.74
Sc (0.5000, 0.5000, 0.0000)  8 Rh 2.74
Pd (0.0000, 0.0000, 0.5000)  8 Rh 2.74
Pd (0.0000, 0.5000, 0.0000)  8 Rh 2.74
Pd (0.5000, 0.0000, 0.0000)  8 Rh 2.74
Pd (0.5000, 0.5000, 0.5000)  8 Rh 2.74
Rh (0.2500, 0.2500, 0.2500)  4 Sc 2.74, 4 Pd 2.74
Rh (0.2500, 0.2500, 0.7500)  4 Sc 2.74, 4 Pd 2.74
Rh (0.2500, 0.7500, 0.2500)  4 Sc 2.74, 4 Pd 2.74
Rh (0.2500, 0.7500, 0.7500)  4 Sc 2.74, 4 Pd 2.74
Rh (0.7500, 0.2500, 0.2500)  4 Sc 2.74, 4 Pd 2.74
Rh (0.7500, 0.2500, 0.7500)  4 Sc 2.74, 4 Pd 2.74
Rh (0.7500, 0.7500, 0.2500)  4 Sc 2.74, 4 Pd 2.74
Rh (0.7500, 0.7500, 0.7500)  4 Sc 2.74, 4 Pd 2.74

[2]
Compound: PmPr8Hg6
Source: the Alexandria database
Functional: PBE
Structure: optimized geometry

* density of states at the Fermi level: 20.228 states/eV per cell
* DFT formation energy: -0.25 eV per atom

a b c (Å): 8.4625 8.4625 8.4625
angles (deg): 66.29 66.29 66.29
Closest atoms and distances in Å follow each position.
Fractional positions:
Pm (0.0000, 0.0000, 0.0000)  6 Hg 3.22
Pr (0.1139, 0.7795, 0.4524)  5 Hg 3.24-3.33
Pr (0.2205, 0.5476, 0.8861)  5 Hg 3.24-3.33
Pr (0.3342, 0.3342, 0.3342)  6 Hg 3.27-3.28
Pr (0.4524, 0.1139, 0.7795)  5 Hg 3.24-3.33
Pr (0.5476, 0.8861, 0.2205)  5 Hg 3.24-3.33
Pr (0.6658, 0.6658, 0.6658)  6 Hg 3.27-3.28
Pr (0.7795, 0.4524, 0.1139)  5 Hg 3.24-3.33
Pr (0.8861, 0.2205, 0.5476)  5 Hg 3.24-3.33
Hg (0.0532, 0.3825, 0.7243)  1 Pm 3.22, 7 Pr 3.24-3.33
Hg (0.2757, 0.9468, 0.6175)  1 Pm 3.22, 7 Pr 3.24-3.33
Hg (0.3825, 0.7243, 0.0532)  1 Pm 3.22, 7 Pr 3.24-3.33
Hg (0.6175, 0.2757, 0.9468)  1 Pm 3.22, 7 Pr 3.24-3.33
Hg (0.7243, 0.0532, 0.3825)  1 Pm 3.22, 7 Pr 3.24-3.33
Hg (0.9468, 0.6175, 0.2757)  1 Pm 3.22, 7 Pr 3.24-3.33

[3]
Compound: Ag3Sb5
Source: the Alexandria database
Functional: PBE
Structure: optimized geometry

* formation energy from raw total energies: 0.211 eV per atom
* density of states at the Fermi level: 6.984 states/eV per cell
* offset from the most stable computed form: 81 meV per atom

a b c (Å): 8.4757 10.1372 4.5669
angles (deg): 90.00 90.00 90.00
Closest atoms and distances in Å follow each position.
Fractional positions:
Ag (0.0000, 0.0000, 0.0000)  8 Sb 3.05-3.30, 4 Ag 3.13
Ag (0.0000, 0.2119, 0.5000)  6 Sb 2.95-3.14, 2 Ag 3.13
Ag (0.0000, 0.7881, 0.5000)  6 Sb 2.95-3.14, 2 Ag 3.13
Ag (0.5000, 0.2881, 0.5000)  6 Sb 2.95-3.14, 2 Ag 3.13
Ag (0.5000, 0.5000, 0.0000)  8 Sb 3.05-3.30, 4 Ag 3.13
Ag (0.5000, 0.7119, 0.5000)  6 Sb 2.95-3.14, 2 Ag 3.13
Sb (0.0000, 0.5000, 0.0000)  8 Sb 3.18-3.30
Sb (0.2391, 0.0000, 0.5000)  4 Ag 2.95-3.05, 2 Sb 3.18
Sb (0.2500, 0.2500, 0.0000)  6 Ag 3.14-3.30, 6 Sb 3.30-3.41
Sb (0.2500, 0.7500, 0.0000)  6 Ag 3.14-3.30, 6 Sb 3.30-3.41
Sb (0.2609, 0.5000, 0.5000)  4 Ag 2.95-3.05, 2 Sb 3.18
Sb (0.5000, 0.0000, 0.0000)  8 Sb 3.18-3.30
Sb (0.7391, 0.5000, 0.5000)  4 Ag 2.95-3.05, 2 Sb 3.18
Sb (0.7500, 0.2500, 0.0000)  6 Ag 3.14-3.30, 6 Sb 3.30-3.41
Sb (0.7500, 0.7500, 0.0000)  6 Ag 3.14-3.30, 6 Sb 3.30-3.41
Sb (0.7609, 0.0000, 0.5000)  4 Ag 2.95-3.05, 2 Sb 3.18

[4]
Compound: SrGe3H
Source: the Alexandria database
Functional: PBE
Structure: optimized geometry

* density of states at the Fermi level: 4.623 states/eV per cell
* offset from the most stable computed form: 1548 meV per atom

a b c (Å): 5.8733 5.8733 5.8733
angles (deg): 90.00 90.00 90.00
Closest atoms and distances in Å follow each position.
Fractional positions:
Sr (0.0000, 0.0000, 0.0000)  6 Ge 2.94
Ge (0.0000, 0.0000, 0.5000)  2 Sr 2.94
Ge (0.0000, 0.5000, 0.0000)  2 Sr 2.94
Ge (0.5000, 0.0000, 0.0000)  2 Sr 2.94
H (0.5000, 0.5000, 0.5000)  12 Ge 4.15

[5]
Compound: LaIr
Source: the Alexandria database
Functional: PBE
Structure: optimized geometry

* DFT formation energy: 0.00 eV per atom

a b c (Å): 7.8455 7.8455 7.8455
angles (deg): 90.00 90.00 90.00
Closest atoms and distances in Å follow each position.
Fractional positions:
La (0.0000, 0.2500, 0.5000)  4 Ir 2.77
La (0.0000, 0.7500, 0.5000)  4 Ir 2.77
La (0.2500, 0.5000, 0.0000)  4 Ir 2.77
La (0.5000, 0.0000, 0.2500)  4 Ir 2.77
La (0.5000, 0.0000, 0.7500)  4 Ir 2.77
La (0.7500, 0.5000, 0.0000)  4 Ir 2.77
Ir (0.0000, 0.5000, 0.2500)  4 La 2.77
Ir (0.0000, 0.5000, 0.7500)  4 La 2.77
Ir (0.2500, 0.0000, 0.5000)  4 La 2.77
Ir (0.5000, 0.2500, 0.0000)  4 La 2.77
Ir (0.5000, 0.7500, 0.0000)  4 La 2.77
Ir (0.7500, 0.0000, 0.5000)  4 La 2.77

[6]
Compound: TaAlZn2
Source: the Alexandria database
Functional: PBE
Structure: optimized geometry

* density of states at the Fermi level: 2.208 states/eV per cell
* DFT formation energy: -0.01 eV per atom

a b c (Å): 2.8728 4.2655 5.2721
angles (deg): 90.00 90.00 90.00
Closest atoms and distances in Å follow each position.
Fractional positions:
Ta (0.0000, 0.0000, 0.0000)  4 Al 2.85, 2 Ta 2.87, 8 Zn 2.88-3.01
Al (0.5000, 0.5000, 0.2326)  4 Zn 2.52-2.75
Zn (0.5000, 0.0000, 0.5020)  2 Zn 2.51, 2 Al 2.56
Zn (0.5000, 0.5000, 0.7543)  2 Zn 2.51, 2 Al 2.52-2.75

[7]
Compound: Tb2In5Ni3
Source: the Alexandria database
Functional: PBE
Structure: optimized geometry

* density of states at the Fermi level: 12.633 states/eV per cell
* DFT formation energy: -0.37 eV per atom

a b c (Å): 13.2363 13.2363 7.1289
angles (deg): 90.00 90.00 160.99
Closest atoms and distances in Å follow each position.
Fractional positions:
Tb (0.0243, 0.9757, 0.5000)  3 Ni 2.84-3.01
Tb (0.3263, 0.6737, 0.5761)  4 Ni 3.03-3.36, 8 In 3.16-3.38
Tb (0.6737, 0.3263, 0.0761)  4 Ni 3.03-3.36, 8 In 3.16-3.38
Tb (0.9757, 0.0243, 0.0000)  3 Ni 2.84-3.01
In (0.0957, 0.9043, 0.8765)  3 Ni 2.65-2.72
In (0.2066, 0.7934, 0.3732)  4 Ni 2.66-2.70, 1 In 2.93
In (0.2100, 0.7900, 0.7833)  3 Ni 2.66-2.67, 1 In 2.93
In (0.3748, 0.6252, 0.0324)  4 Ni 2.72-2.98
In (0.4477, 0.5523, 0.6701)  4 Ni 2.65-2.79
In (0.5523, 0.4477, 0.1701)  4 Ni 2.65-2.79
In (0.6252, 0.3748, 0.5324)  4 Ni 2.72-2.98
In (0.7900, 0.2100, 0.2833)  3 Ni 2.66-2.67, 1 In 2.93
In (0.7934, 0.2066, 0.8732)  4 Ni 2.66-2.70, 1 In 2.93
In (0.9043, 0.0957, 0.3765)  3 Ni 2.65-2.72
Ni (0.1099, 0.8901, 0.2543)  6 In 2.66-2.98, 1 Tb 2.84
Ni (0.2715, 0.7285, 0.0804)  7 In 2.66-2.72
Ni (0.4553, 0.5447, 0.2796)  5 In 2.65-2.79
Ni (0.5447, 0.4553, 0.7796)  5 In 2.65-2.79
Ni (0.7285, 0.2715, 0.5804)  7 In 2.66-2.72
Ni (0.8901, 0.1099, 0.7543)  6 In 2.66-2.98, 1 Tb 2.84

[8]
Compound: LaSc2W
Source: the Alexandria database
Functional: PBE
Structure: optimized geometry

* density of states at the Fermi level: 20.633 states/eV per cell
* DFT formation energy: 0.39 eV per atom

a b c (Å): 3.2069 3.2069 31.9077
angles (deg): 90.00 90.00 120.00
Closest atoms and distances in Å follow each position.
Fractional positions:
La (0.0000, 0.0000, 0.0000)  6 La 3.21
La (0.3333, 0.6667, 0.6667)  6 La 3.21
La (0.6667, 0.3333, 0.3333)  6 La 3.21
Sc (0.0000, 0.0000, 0.2359)  3 W 2.88, 6 Sc 3.21
Sc (0.0000, 0.0000, 0.7641)  3 W 2.88, 6 Sc 3.21
Sc (0.3333, 0.6667, 0.4307)  3 W 2.88, 6 Sc 3.21
Sc (0.3333, 0.6667, 0.9026)  3 W 2.88, 6 Sc 3.21
Sc (0.6667, 0.3333, 0.0974)  3 W 2.88, 6 Sc 3.21
Sc (0.6667, 0.3333, 0.5693)  3 W 2.88, 6 Sc 3.21
W (0.0000, 0.0000, 0.5000)  6 Sc 2.88, 6 W 3.21
W (0.3333, 0.6667, 0.1667)  6 Sc 2.88, 6 W 3.21
W (0.6667, 0.3333, 0.8333)  6 Sc 2.88, 6 W 3.21

Magnetic moment (computed, μB/f.u.): 0.00, 2.84, 0.00, 1.43, 0.00, 0.00, 0.00, 0.37